1.
# BeAlCoMo

A relaxed structure of BeAlCoMo (PBE-GGA, the Open Quantum Materials Database).

Geometry as CIF:
```
data_BeAlCoMo
_space_group_name_H-M_alt 'F -4 3 m'
_space_group_IT_number 216
_space_group_name_Hall 'F -4 2 3'
_cell_length_a 5.807
_cell_length_b 5.807
_cell_length_c 5.807
_cell_angle_alpha 90.00
_cell_angle_beta 90.00
_cell_angle_gamma 90.00
loop_
_atom_site_label
_atom_site_type_symbol
_atom_site_fract_x
_atom_site_fract_y
_atom_site_fract_z
_atom_site_occupancy
Be1 Be 0.000 0.000 0.000 1
Al1 Al 0.250 0.250 0.250 1
Co1 Co 0.000 0.000 0.500 1
Mo1 Mo 0.250 0.250 0.750 1
```

**Distance to the lowest polymorph of the same formula**: 0.0 meV per atom


2.
# CoCuPbAu

A relaxed structure of CoCuPbAu (PBE-GGA, the Open Quantum Materials Database).

Geometry as CIF:
```
data_CoCuPbAu
_space_group_name_H-M_alt 'F -4 3 m'
_space_group_IT_number 216
_space_group_name_Hall 'F -4 2 3'
_cell_length_a 6.412
_cell_length_b 6.412
_cell_length_c 6.412
_cell_angle_alpha 90.00
_cell_angle_beta 90.00
_cell_angle_gamma 90.00
loop_
_atom_site_label
_atom_site_type_symbol
_atom_site_fract_x
_atom_site_fract_y
_atom_site_fract_z
_atom_site_occupancy
Co1 Co 0.000 0.000 0.000 1
Cu1 Cu 0.000 0.000 0.500 1
Pb1 Pb 0.250 0.250 0.750 1
Au1 Au 0.250 0.250 0.250 1
```

**Distance to the lowest polymorph of the same formula**: 0.0 meV per atom


3.
# K2Hg2SbAs

A relaxed structure of K2Hg2SbAs (PBE-GGA, the Open Quantum Materials Database).

Geometry as CIF:
```
data_K2Hg2SbAs
_space_group_name_H-M_alt 'P 3 m 1'
_space_group_IT_number 156
_cell_length_a 4.7665
_cell_length_b 4.7665
_cell_length_c 10.4181
_cell_angle_alpha 90.00
_cell_angle_beta 90.00
_cell_angle_gamma 120.00
loop_
_space_group_symop_operation_xyz
'x,y,z'
'-y,x-y,z'
'-x+y,-x,z'
'-y,-x,z'
'-x+y,y,z'
'x,x-y,z'
loop_
_atom_site_label
_atom_site_type_symbol
_atom_site_fract_x
_atom_site_fract_y
_atom_site_fract_z
_atom_site_occupancy
K1 K 0.0000 0.0000 0.0000 1
K2 K 0.0000 0.0000 0.4780 1
Hg1 Hg 0.3333 0.6667 0.2438 1
Hg2 Hg 0.6667 0.3333 0.7529 1
Sb1 Sb 0.3333 0.6667 0.7277 1
As1 As 0.6667 0.3333 0.2335 1
```

**DFT total energy**: -0.084 hartree per atom


4.
# Mg6CdAg

A relaxed structure of Mg6CdAg (PBE-GGA, the Open Quantum Materials Database).

Geometry as CIF:
```
data_Mg6CdAg
_space_group_name_H-M_alt 'P -6 m 2'
_space_group_IT_number 187
_space_group_name_Hall 'P -6 2'
_cell_length_a 6.2337
_cell_length_b 6.2337
_cell_length_c 4.9650
_cell_angle_alpha 90.00
_cell_angle_beta 90.00
_cell_angle_gamma 120.00
loop_
_atom_site_label
_atom_site_type_symbol
_atom_site_fract_x
_atom_site_fract_y
_atom_site_fract_z
_atom_site_occupancy
Mg1 Mg 0.0083 0.5041 0.0000 1
Mg2 Mg 0.3311 0.1655 0.5000 1
Cd1 Cd 0.0000 0.0000 0.0000 1
Ag1 Ag 0.3333 0.6667 0.5000 1
```

**DFT total energy**: -0.063 hartree per atom


5.
# PaCdPO

A relaxed structure of PaCdPO (PBE-GGA, the Open Quantum Materials Database).

Geometry as CIF:
```
data_PaCdPO
_space_group_name_H-M_alt 'P 4/n m m'
_space_group_IT_number 129
_cell_length_a 3.964
_cell_length_b 3.964
_cell_length_c 9.394
_cell_angle_alpha 90.00
_cell_angle_beta 90.00
_cell_angle_gamma 90.00
loop_
_space_group_symop_operation_xyz
'x,y,z'
'-x,-y,-z'
'-y+1/2,x,z'
'y+1/2,-x,-z'
'-x+1/2,-y+1/2,z'
'x+1/2,y+1/2,-z'
'y,-x+1/2,z'
'-y,x+1/2,-z'
'x+1/2,-y,-z'
'-x+1/2,y,z'
'-y,-x,-z'
'y,x,z'
'-x,y+1/2,-z'
'x,-y+1/2,z'
'y+1/2,x+1/2,-z'
'-y+1/2,-x+1/2,z'
loop_
_atom_site_label
_atom_site_type_symbol
_atom_site_fract_x
_atom_site_fract_y
_atom_site_fract_z
_atom_site_occupancy
Pa1 Pa 0.250 0.250 0.144 1
Cd1 Cd 0.250 0.750 0.500 1
P1 P 0.250 0.250 0.727 1
O1 O 0.250 0.750 0.000 1
```

**Distance to the lowest polymorph of the same formula**: 0.0 meV per atom


6.
# Ga2H8Pd

A relaxed structure of Ga2H8Pd (PBE-GGA, the Open Quantum Materials Database).

Geometry as CIF:
```
data_Ga2H8Pd
_space_group_name_H-M_alt 'C 1 2/m 1'
_space_group_IT_number 12
_cell_length_a 8.968
_cell_length_b 4.712
_cell_length_c 5.954
_cell_angle_alpha 90.00
_cell_angle_beta 104.40
_cell_angle_gamma 90.00
loop_
_space_group_symop_operation_xyz
'x,y,z'
'-x,-y,-z'
'-x,y,-z'
'x,-y,z'
'x+1/2,y+1/2,z'
'-x+1/2,-y+1/2,-z'
'-x+1/2,y+1/2,-z'
'x+1/2,-y+1/2,z'
loop_
_atom_site_label
_atom_site_type_symbol
_atom_site_fract_x
_atom_site_fract_y
_atom_site_fract_z
_atom_site_occupancy
Ga1 Ga 0.240 0.000 0.320 1
H1 H 0.097 0.500 0.718 1
H2 H 0.108 0.262 0.142 1
H3 H 0.207 0.000 0.574 1
Pd1 Pd 0.000 0.000 0.000 1
```

**DFT total energy**: -0.121 hartree per atom


7.
# Sm3MgPt8

A relaxed structure of Sm3MgPt8 (PBE-GGA, the Open Quantum Materials Database).

Geometry as CIF:
```
data_Sm3MgPt8
_space_group_name_H-M_alt 'R 3 m'
_space_group_IT_number 160
_space_group_name_Hall 'R 3 -2"'
_cell_length_a 5.4355
_cell_length_b 5.4355
_cell_length_c 26.6163
_cell_angle_alpha 90.00
_cell_angle_beta 90.00
_cell_angle_gamma 120.00
loop_
_atom_site_label
_atom_site_type_symbol
_atom_site_fract_x
_atom_site_fract_y
_atom_site_fract_z
_atom_site_occupancy
Sm1 Sm 0.0000 0.0000 0.0000 1
Sm2 Sm 0.0000 0.0000 0.1278 1
Sm3 Sm 0.0000 0.0000 0.5115 1
Mg1 Mg 0.0000 0.0000 0.6352 1
Pt1 Pt 0.0000 0.0000 0.3167 1
Pt2 Pt 0.0000 0.0000 0.8170 1
Pt3 Pt 0.1670 0.3340 0.4003 1
Pt4 Pt 0.1676 0.3352 0.9006 1
```

**DFT total energy**: -0.233 hartree per atom


8.
# Dy3Mg3AlHg2

A relaxed structure of Dy3Mg3AlHg2 (PBE-GGA, the Open Quantum Materials Database).

Geometry as CIF:
```
data_Dy3Mg3AlHg2
_space_group_name_H-M_alt 'P -6 2 m'
_space_group_IT_number 189
_space_group_name_Hall 'P -6 -2'
_cell_length_a 7.7818
_cell_length_b 7.7818
_cell_length_c 4.1740
_cell_angle_alpha 90.00
_cell_angle_beta 90.00
_cell_angle_gamma 120.00
loop_
_atom_site_label
_atom_site_type_symbol
_atom_site_fract_x
_atom_site_fract_y
_atom_site_fract_z
_atom_site_occupancy
Dy1 Dy 0.0000 0.5904 0.0000 1
Mg1 Mg 0.0000 0.2465 0.5000 1
Al1 Al 0.0000 0.0000 0.0000 1
Hg1 Hg 0.3333 0.6667 0.5000 1
```

**DFT total energy**: -0.106 hartree per atom


9.
# Sm2Sc2CF5

A relaxed structure of Sm2Sc2CF5 (PBE-GGA, the Open Quantum Materials Database).

Geometry as CIF:
```
data_Sm2Sc2CF5
_space_group_name_H-M_alt 'C 1 2/m 1'
_space_group_IT_number 12
_cell_length_a 14.083
_cell_length_b 3.374
_cell_length_c 7.144
_cell_angle_alpha 90.00
_cell_angle_beta 109.45
_cell_angle_gamma 90.00
loop_
_space_group_symop_operation_xyz
'x,y,z'
'-x,-y,-z'
'-x,y,-z'
'x,-y,z'
'x+1/2,y+1/2,z'
'-x+1/2,-y+1/2,-z'
'-x+1/2,y+1/2,-z'
'x+1/2,-y+1/2,z'
loop_
_atom_site_label
_atom_site_type_symbol
_atom_site_fract_x
_atom_site_fract_y
_atom_site_fract_z
_atom_site_occupancy
Sm1 Sm 0.010 0.000 0.246 1
Sc1 Sc 0.163 0.500 0.097 1
C1 C 0.000 0.500 0.000 1
F1 F 0.000 0.500 0.500 1
F2 F 0.176 0.000 0.894 1
F3 F 0.194 0.000 0.295 1
```

**DFT total energy**: -0.247 hartree per atom


10.
# Si2Tc2H

A relaxed structure of Si2Tc2H (PBE-GGA, the Open Quantum Materials Database).

Geometry as CIF:
```
data_Si2Tc2H
_space_group_name_H-M_alt 'P 4/m b m'
_space_group_IT_number 127
_space_group_name_Hall '-P 4 2ab'
_cell_length_a 5.730
_cell_length_b 5.730
_cell_length_c 3.719
_cell_angle_alpha 90.00
_cell_angle_beta 90.00
_cell_angle_gamma 90.00
loop_
_atom_site_label
_atom_site_type_symbol
_atom_site_fract_x
_atom_site_fract_y
_atom_site_fract_z
_atom_site_occupancy
Si1 Si 0.147 0.353 0.000 1
Tc1 Tc 0.170 0.670 0.500 1
H1 H 0.000 0.000 0.500 1
```

**DFT total energy**: -0.264 hartree per atom


11.
# LuInCoOs

A relaxed structure of LuInCoOs (PBE-GGA, the Open Quantum Materials Database).

Geometry as CIF:
```
data_LuInCoOs
_space_group_name_H-M_alt 'F -4 3 m'
_space_group_IT_number 216
_space_group_name_Hall 'F -4 2 3'
_cell_length_a 6.570
_cell_length_b 6.570
_cell_length_c 6.570
_cell_angle_alpha 90.00
_cell_angle_beta 90.00
_cell_angle_gamma 90.00
loop_
_atom_site_label
_atom_site_type_symbol
_atom_site_fract_x
_atom_site_fract_y
_atom_site_fract_z
_atom_site_occupancy
Lu1 Lu 0.000 0.000 0.000 1
In1 In 0.250 0.250 0.250 1
Co1 Co 0.000 0.000 0.500 1
Os1 Os 0.250 0.250 0.750 1
```

**Distance to the lowest polymorph of the same formula**: 271.7 meV per atom


12.
# Sm2SnTe3

A relaxed structure of Sm2SnTe3 (PBE-GGA, the Open Quantum Materials Database).

Geometry as CIF:
```
data_Sm2SnTe3
_space_group_name_H-M_alt 'P -3 m 1'
_space_group_IT_number 164
_space_group_name_Hall '-P 3 2"'
_cell_length_a 4.4578
_cell_length_b 4.4578
_cell_length_c 11.1321
_cell_angle_alpha 90.00
_cell_angle_beta 90.00
_cell_angle_gamma 120.00
loop_
_atom_site_label
_atom_site_type_symbol
_atom_site_fract_x
_atom_site_fract_y
_atom_site_fract_z
_atom_site_occupancy
Sm1 Sm 0.3333 0.6667 0.1497 1
Sn1 Sn 0.0000 0.0000 0.5000 1
Te1 Te 0.0000 0.0000 0.0000 1
Te2 Te 0.3333 0.6667 0.6705 1
```

**DFT total energy**: -0.176 hartree per atom


13.
# NaGeBPt

A relaxed structure of NaGeBPt (PBE-GGA, the Open Quantum Materials Database).

Geometry as CIF:
```
data_NaGeBPt
_space_group_name_H-M_alt 'F -4 3 m'
_space_group_IT_number 216
_space_group_name_Hall 'F -4 2 3'
_cell_length_a 6.232
_cell_length_b 6.232
_cell_length_c 6.232
_cell_angle_alpha 90.00
_cell_angle_beta 90.00
_cell_angle_gamma 90.00
loop_
_atom_site_label
_atom_site_type_symbol
_atom_site_fract_x
_atom_site_fract_y
_atom_site_fract_z
_atom_site_occupancy
Na1 Na 0.000 0.000 0.000 1
Ge1 Ge 0.000 0.000 0.500 1
B1 B 0.250 0.250 0.750 1
Pt1 Pt 0.250 0.250 0.250 1
```

**Distance to the lowest polymorph of the same formula**: 231.1 meV per atom